Entry from the Alexandria database: crystalline SrTe2IBr at its relaxed geometry (PBE).

* energy above the most stable polymorph in this dataset: 13.9 kJ/mol of atoms
* electronic total energy: -2.318 eV/atom
* energy relative to the elements, uncorrected: -1.85 kcal/mol of atoms

Structure (CIF):
```
data_SrTe2IBr
_symmetry_space_group_name_H-M 'P 4/m m m'
_symmetry_Int_Tables_number 123
_symmetry_space_group_name_Hall '-P 4 2'
_cell_length_a 6.6174
_cell_length_b 6.6174
_cell_length_c 6.1923
_cell_angle_alpha 90.00
_cell_angle_beta 90.00
_cell_angle_gamma 90.00
loop_
_atom_site_label
_atom_site_type_symbol
_atom_site_fract_x
_atom_site_fract_y
_atom_site_fract_z
Sr1 Sr 0.0000 0.0000 0.0000
Te1 Te 0.0000 0.5000 0.0000
I1 I 0.0000 0.0000 0.5000
Br1 Br 0.5000 0.5000 0.5000
```



Entry from the Alexandria database: crystalline FeCo4Ir2 at its relaxed geometry (PBE).

* ΔH_f (0 K): 0.3016 eV/atom
* electronic total energy: -7.500 eV/atom

Structure (CIF):
```
data_FeCo4Ir2
_symmetry_space_group_name_H-M 'P 42/m n m'
_symmetry_Int_Tables_number 136
_symmetry_space_group_name_Hall '-P 4n 2n'
_cell_length_a 6.5431
_cell_length_b 6.5431
_cell_length_c 4.2678
_cell_angle_alpha 90.00
_cell_angle_beta 90.00
_cell_angle_gamma 90.00
loop_
_atom_site_label
_atom_site_type_symbol
_atom_site_fract_x
_atom_site_fract_y
_atom_site_fract_z
Fe1 Fe 0.0000 0.0000 0.0000
Co1 Co 0.0908 0.3552 0.0000
Ir1 Ir 0.1610 0.1610 0.5000
```



Entry from the Alexandria database: crystalline Pr12GaHg6 at its relaxed geometry (PBE).

* ΔH_f (0 K): -0.2375 eV/atom
* electronic total energy: -3.511 eV/atom

Structure (CIF):
```
data_Pr12GaHg6
_symmetry_space_group_name_H-M 'R -3'
_symmetry_Int_Tables_number 148
_symmetry_space_group_name_Hall '-R 3'
_cell_length_a 11.9807
_cell_length_b 11.9807
_cell_length_c 14.2464
_cell_angle_alpha 90.00
_cell_angle_beta 90.00
_cell_angle_gamma 120.00
loop_
_atom_site_label
_atom_site_type_symbol
_atom_site_fract_x
_atom_site_fract_y
_atom_site_fract_z
Pr1 Pr 0.0322 0.8432 0.3433
Pr2 Pr 0.0562 0.2061 0.9011
Ga1 Ga 0.0000 0.0000 0.5000
Hg1 Hg 0.0167 0.5946 0.2174
```



Entry from the Alexandria database: crystalline La2TcBr at its relaxed geometry (PBE).

* energy above the most stable polymorph in this dataset: 9.5 kJ/mol of atoms
* electronic total energy: -6.027 eV/atom
* energy relative to the elements, uncorrected: -12.77 kcal/mol of atoms

Structure (CIF):
```
data_La2TcBr
_symmetry_space_group_name_H-M 'P m m 2'
_symmetry_Int_Tables_number 25
_symmetry_space_group_name_Hall 'P 2 -2'
_cell_length_a 3.9702
_cell_length_b 4.6944
_cell_length_c 6.1162
_cell_angle_alpha 90.00
_cell_angle_beta 90.00
_cell_angle_gamma 90.00
loop_
_atom_site_label
_atom_site_type_symbol
_atom_site_fract_x
_atom_site_fract_y
_atom_site_fract_z
La1 La 0.0000 0.0000 0.0000
La2 La 0.5000 0.5000 0.4251
Tc1 Tc 0.0000 0.0000 0.3833
Br1 Br 0.5000 0.5000 0.9219
```



Entry from the Alexandria database: crystalline KLi2TaRe at its relaxed geometry (PBE).

* ΔH_f (0 K): 1.7154 eV/atom
* electronic total energy: -4.130 eV/atom

Structure (CIF):
```
data_KLi2TaRe
_symmetry_space_group_name_H-M 'P 4/m m m'
_symmetry_Int_Tables_number 123
_symmetry_space_group_name_Hall '-P 4 2'
_cell_length_a 3.9731
_cell_length_b 3.9731
_cell_length_c 5.4201
_cell_angle_alpha 90.00
_cell_angle_beta 90.00
_cell_angle_gamma 90.00
loop_
_atom_site_label
_atom_site_type_symbol
_atom_site_fract_x
_atom_site_fract_y
_atom_site_fract_z
K1 K 0.0000 0.0000 0.0000
Li1 Li 0.0000 0.5000 0.0000
Ta1 Ta 0.0000 0.0000 0.5000
Re1 Re 0.5000 0.5000 0.5000
```



Entry from the Alexandria database: crystalline RbMgF2 at its relaxed geometry (PBE).

* energy above the most stable polymorph in this dataset: 1.3 kJ/mol of atoms
* electronic total energy: -3.969 eV/atom
* energy relative to the elements, uncorrected: -55.17 kcal/mol of atoms

Structure (CIF):
```
data_RbMgF2
_symmetry_space_group_name_H-M 'I -4 2 d'
_symmetry_Int_Tables_number 122
_symmetry_space_group_name_Hall 'I -4 2bw'
_cell_length_a 6.2186
_cell_length_b 6.2186
_cell_length_c 9.7896
_cell_angle_alpha 90.00
_cell_angle_beta 90.00
_cell_angle_gamma 90.00
loop_
_atom_site_label
_atom_site_type_symbol
_atom_site_fract_x
_atom_site_fract_y
_atom_site_fract_z
Rb1 Rb 0.0000 0.0000 0.0000
Mg1 Mg 0.0000 0.0000 0.5000
F1 F 0.0424 0.2500 0.6250
```



Entry from the Alexandria database: crystalline CeDyPuIr at its relaxed geometry (PBE).

* ΔH_f (0 K): -0.1562 eV/atom
* electronic total energy: -8.588 eV/atom

Structure (CIF):
```
data_CeDyPuIr
_symmetry_space_group_name_H-M 'F -4 3 m'
_symmetry_Int_Tables_number 216
_symmetry_space_group_name_Hall 'F -4 2 3'
_cell_length_a 7.1561
_cell_length_b 7.1561
_cell_length_c 7.1561
_cell_angle_alpha 90.00
_cell_angle_beta 90.00
_cell_angle_gamma 90.00
loop_
_atom_site_label
_atom_site_type_symbol
_atom_site_fract_x
_atom_site_fract_y
_atom_site_fract_z
Ce1 Ce 0.0000 0.0000 0.0000
Dy1 Dy 0.0000 0.0000 0.5000
Pu1 Pu 0.2500 0.2500 0.7500
Ir1 Ir 0.2500 0.2500 0.2500
```



Entry from the Alexandria database: crystalline TlPtI2N at its relaxed geometry (PBE).

* energy above the most stable polymorph in this dataset: 123.1 kJ/mol of atoms
* electronic total energy: -2.502 eV/atom
* energy relative to the elements, uncorrected: 33.77 kcal/mol of atoms

Structure (CIF):
```
data_TlPtI2N
_symmetry_space_group_name_H-M 'P 4/m m m'
_symmetry_Int_Tables_number 123
_symmetry_space_group_name_Hall '-P 4 2'
_cell_length_a 6.0415
_cell_length_b 6.0415
_cell_length_c 4.1879
_cell_angle_alpha 90.00
_cell_angle_beta 90.00
_cell_angle_gamma 90.00
loop_
_atom_site_label
_atom_site_type_symbol
_atom_site_fract_x
_atom_site_fract_y
_atom_site_fract_z
Tl1 Tl 0.0000 0.0000 0.0000
Pt1 Pt 0.5000 0.5000 0.5000
I1 I 0.0000 0.5000 0.0000
N1 N 0.0000 0.0000 0.5000
```



Entry from the Alexandria database: crystalline Mn2AsRh at its relaxed geometry (PBE).

* ΔH_f (0 K): -0.0510 eV/atom
* electronic total energy: -7.636 eV/atom

Structure (CIF):
```
data_Mn2AsRh
_symmetry_space_group_name_H-M 'P 4 m m'
_symmetry_Int_Tables_number 99
_symmetry_space_group_name_Hall 'P 4 -2'
_cell_length_a 3.0060
_cell_length_b 3.0060
_cell_length_c 5.9161
_cell_angle_alpha 90.00
_cell_angle_beta 90.00
_cell_angle_gamma 90.00
loop_
_atom_site_label
_atom_site_type_symbol
_atom_site_fract_x
_atom_site_fract_y
_atom_site_fract_z
Mn1 Mn 0.0000 0.0000 0.0000
Mn2 Mn 0.5000 0.5000 0.2490
As1 As 0.5000 0.5000 0.7937
Rh1 Rh 0.0000 0.0000 0.5126
```



Entry from the Alexandria database: crystalline TeOs2W at its relaxed geometry (PBE).

* electronic total energy: -8.880 eV/atom
* energy relative to the elements, uncorrected: 17.49 kcal/mol of atoms

Structure (CIF):
```
data_TeOs2W
_symmetry_space_group_name_H-M 'I m m 2'
_symmetry_Int_Tables_number 44
_symmetry_space_group_name_Hall 'I 2 -2'
_cell_length_a 3.0665
_cell_length_b 4.5939
_cell_length_c 9.3657
_cell_angle_alpha 90.00
_cell_angle_beta 90.00
_cell_angle_gamma 90.00
loop_
_atom_site_label
_atom_site_type_symbol
_atom_site_fract_x
_atom_site_fract_y
_atom_site_fract_z
Te1 Te 0.0000 0.0000 0.0000
Os1 Os 0.0000 0.0000 0.4958
Os2 Os 0.0000 0.5000 0.2755
W1 W 0.0000 0.5000 0.7401
```